Record 1
Here is a geometry-optimized BeZnIr structure from the Alexandria database. Energies are from PBE.

Cell: 2.895 2.895 8.813 Å, 90.00 90.00 90.00°
Element x y z (fractional)
Be1 0.250 0.250 0.068
Be2 0.750 0.750 0.932
Zn1 0.250 0.250 0.395
Zn2 0.750 0.750 0.605
Ir1 0.250 0.250 0.798
Ir2 0.750 0.750 0.202

ΔE to the lowest computed polymorph: 0 meV/atom
Magnetic moment: 0.000 μB per cell
Calculated formation energy: -382 meV per atom
E: -5.00 eV per atom

---

Record 2
Here is a geometry-optimized BeZnIr2 structure from the Alexandria database. Energies are from PBE.

Cell: 5.873 5.873 5.873 Å, 90.00 90.00 90.00°
Element x y z (fractional)
Be1 0.000 0.000 0.000
Be2 0.000 0.500 0.500
Be3 0.500 0.000 0.500
Be4 0.500 0.500 0.000
Zn1 0.000 0.000 0.500
Zn2 0.000 0.500 0.000
Zn3 0.500 0.000 0.000
Zn4 0.500 0.500 0.500
Ir1 0.250 0.250 0.250
Ir2 0.250 0.250 0.750
Ir3 0.250 0.750 0.250
Ir4 0.250 0.750 0.750
Ir5 0.750 0.250 0.250
Ir6 0.750 0.250 0.750
Ir7 0.750 0.750 0.250
Ir8 0.750 0.750 0.750

ΔE to the lowest computed polymorph: 70 meV/atom
Magnetic moment: 0.000 μB per cell
Calculated formation energy: -232 meV per atom
E: -5.91 eV per atom

---

Record 3
Here is a geometry-optimized BeZnIr2 structure from the Alexandria database. Energies are from PBE.

Cell: 2.767 3.697 5.226 Å, 90.00 102.72 90.00°
Element x y z (fractional)
Be1 0.000 0.000 0.000
Zn1 0.000 0.000 0.500
Ir1 0.359 0.500 0.226
Ir2 0.641 0.500 0.774

ΔE to the lowest computed polymorph: 25 meV/atom
Magnetic moment: 0.000 μB per cell
Calculated formation energy: -277 meV per atom
E: -5.96 eV per atom

---

Record 4
Here is a geometry-optimized BeZn3Ir structure from the Alexandria database. Energies are from PBE.

Cell: 4.782 4.782 4.782 Å, 90.00 90.00 90.00°
Element x y z (fractional)
Be1 0.000 0.000 0.000
Zn1 0.000 0.500 0.500
Zn2 0.500 0.000 0.500
Zn3 0.500 0.500 0.000
Ir1 0.500 0.500 0.500

ΔE to the lowest computed polymorph: 145 meV/atom
Magnetic moment: 0.000 μB per cell
Calculated formation energy: 747 meV per atom
E: -2.54 eV per atom

---

Record 5
Here is a geometry-optimized BeZnIr2 structure from the Alexandria database. Energies are from PBE.

Cell: 2.859 2.859 6.240 Å, 90.00 90.00 90.00°
Element x y z (fractional)
Be1 0.000 0.000 0.000
Zn1 0.500 0.500 0.760
Ir1 0.000 0.000 0.494
Ir2 0.500 0.500 0.187

ΔE to the lowest computed polymorph: 112 meV/atom
Magnetic moment: 0.000 μB per cell
Calculated formation energy: -190 meV per atom
E: -5.87 eV per atom

---

Record 6
Here is a geometry-optimized BeZnIr structure from the Alexandria database. Energies are from PBE.

Cell: 2.929 2.929 8.700 Å, 90.00 90.00 90.00°
Element x y z (fractional)
Be1 0.000 0.000 0.000
Be2 0.500 0.500 0.500
Zn1 0.000 0.000 0.313
Zn2 0.500 0.500 0.813
Ir1 0.000 0.000 0.618
Ir2 0.500 0.500 0.118

ΔE to the lowest computed polymorph: 41 meV/atom
Magnetic moment: 0.000 μB per cell
Calculated formation energy: -342 meV per atom
E: -4.96 eV per atom

---

Record 7
Here is a geometry-optimized BeZn2Ir2 structure from the Alexandria database. Energies are from PBE.

Cell: 5.941 5.941 4.027 Å, 90.00 90.00 90.00°
Element x y z (fractional)
Be1 0.000 0.000 0.000
Be2 0.500 0.500 0.000
Zn1 0.159 0.341 0.500
Zn2 0.341 0.841 0.500
Zn3 0.659 0.159 0.500
Zn4 0.841 0.659 0.500
Ir1 0.153 0.653 0.000
Ir2 0.347 0.153 0.000
Ir3 0.653 0.847 0.000
Ir4 0.847 0.347 0.000

Magnetic moment: 0.000 μB per cell
Calculated formation energy: -212 meV per atom
E: -5.01 eV per atom

---

Record 8
Here is a geometry-optimized BeZnIr structure from the Alexandria database. Energies are from PBE.

Cell: 5.654 5.654 5.654 Å, 90.00 90.00 90.00°
Element x y z (fractional)
Be1 0.000 0.000 0.000
Be2 0.000 0.500 0.500
Be3 0.500 0.000 0.500
Be4 0.500 0.500 0.000
Zn1 0.000 0.000 0.500
Zn2 0.000 0.500 0.000
Zn3 0.500 0.000 0.000
Zn4 0.500 0.500 0.500
Ir1 0.250 0.250 0.750
Ir2 0.250 0.750 0.250
Ir3 0.750 0.250 0.250
Ir4 0.750 0.750 0.750

ΔE to the lowest computed polymorph: 524 meV/atom
Magnetic moment: 0.000 μB per cell
Calculated formation energy: 142 meV per atom
E: -4.48 eV per atom

---

Record 9
Here is a geometry-optimized Be2ZnIr structure from the Alexandria database. Energies are from PBE.

Cell: 3.645 3.645 15.984 Å, 90.00 90.00 90.00°
Element x y z (fractional)
Be1 0.171 0.250 0.125
Be2 0.250 0.671 0.375
Be3 0.250 0.829 0.875
Be4 0.329 0.250 0.625
Be5 0.671 0.750 0.625
Be6 0.750 0.171 0.875
Be7 0.750 0.329 0.375
Be8 0.829 0.750 0.125
Zn1 0.000 0.000 0.500
Zn2 0.000 0.500 0.750
Zn3 0.500 0.000 0.250
Zn4 0.500 0.500 0.000
Ir1 0.000 0.000 0.000
Ir2 0.000 0.500 0.250
Ir3 0.500 0.000 0.750
Ir4 0.500 0.500 0.500

Magnetic moment: 0.000 μB per cell
Calculated formation energy: 192 meV per atom
E: -4.21 eV per atom

---

Record 10
Here is a geometry-optimized Be2ZnIr structure from the Alexandria database. Energies are from PBE.

Cell: 2.757 4.615 7.721 Å, 90.00 90.00 90.00°
Element x y z (fractional)
Be1 0.000 0.000 0.000
Be2 0.000 0.500 0.226
Be3 0.500 0.000 0.226
Be4 0.500 0.500 0.000
Zn1 0.000 0.500 0.747
Zn2 0.500 0.000 0.747
Ir1 0.000 0.000 0.457
Ir2 0.500 0.500 0.457

Magnetic moment: 0.000 μB per cell
Calculated formation energy: 132 meV per atom
E: -4.27 eV per atom

---

Record 11
Here is a geometry-optimized Be2ZnIr structure from the Alexandria database. Energies are from PBE.

Cell: 2.894 2.894 5.461 Å, 90.00 90.00 90.00°
Element x y z (fractional)
Be1 0.000 0.000 0.000
Be2 0.500 0.500 0.218
Zn1 0.500 0.500 0.742
Ir1 0.000 0.000 0.419

Magnetic moment: 0.000 μB per cell
Calculated formation energy: -192 meV per atom
E: -4.59 eV per atom

---

Record 12
Here is a geometry-optimized BeZnIr structure from the Alexandria database. Energies are from PBE.

Cell: 3.907 3.907 2.800 Å, 90.00 90.00 120.00°
Element x y z (fractional)
Be1 0.000 0.000 0.000
Zn1 0.333 0.667 0.793
Ir1 0.667 0.333 0.303

ΔE to the lowest computed polymorph: 136 meV/atom
Magnetic moment: 0.000 μB per cell
Calculated formation energy: -247 meV per atom
E: -4.87 eV per atom